This record from the Alexandria database describes crystalline Pr2TlO2 at its relaxed geometry. The functional is PBE.

Cell and atoms, written as POSCAR:
```
Pr2TlO2
1.0
3.840 0.000 -1.435
-0.536 3.802 -1.435
0.611 0.703 7.491
Pr Tl O
2 1 2
Direct
0.666 0.666 0.331
0.334 0.334 0.669
0.000 0.000 0.000
0.750 0.250 0.500
0.250 0.750 0.500
```

Properties
- calculated volume (Å³/atom) = 23.42
- energy relative to the elements, uncorrected (eV/atom) = -2.29
- crystal system = tetragonal